Here is crystalline Rb2YCd2Se4 at its relaxed geometry from Alexandria via LeMat-Bulk. Energies are from PBE-GGA.

Cell and atoms, written as POSCAR:
```
Rb2YCd2Se4
1.0
4.219 0.000 0.000
0.000 8.567 0.020
-2.109 -3.363 7.720
Se Rb Y Cd
4 2 1 2
Direct
0.522 0.782 0.044
0.815 0.782 0.630
0.185 0.218 0.370
0.478 0.218 0.956
0.873 0.438 0.747
0.127 0.562 0.253
0.000 0.000 0.000
0.313 0.984 0.626
0.687 0.016 0.374
```

The crystal system is monoclinic. As for the calculated total energy: -3.783 eV per atom. The energy relative to the elements, uncorrected is -1.098 eV/atom.